Computed, not measured: a relaxed RbLiYH2 crystal at the PBE level of DFT.

Lattice parameters (Å, degrees): 4.811 5.505 4.811 90.00 90.00 90.00
Each line ends with the local moment (μB).
Positions (direct):
H (0.500, 0.000, 0.000)  -0.01
H (0.000, 0.000, 0.500)  -0.01
Y (0.000, 0.500, 0.000)  0.60
Li (0.000, 0.000, 0.000)  0.06
Rb (0.500, 0.500, 0.500)  0.03

Results
The value obtained for the energy relative to the lowest polymorph listed for this composition is 0.507 eV/atom. The space-group type is P4/mmm. The density of states at the Fermi level comes out at 4.2 states/eV per cell.